The following is a GGA-PBE calculation of a relaxed structure of DyTmCu, from Alexandria via LeMat-Bulk.

- ΔH_f (0 K): -0.155 eV per atom
- Distance to the lowest polymorph of the same formula: 22 meV per atom
- Uncorrected energy: -4.545 eV/atom
- ρ: 8.9 g/cm³

```
data_DyTmCu
_cell_length_a 3.6582
_cell_length_b 6.5008
_cell_length_c 6.8448
_cell_angle_alpha 73.82
_cell_angle_beta 74.50
_cell_angle_gamma 73.66
_symmetry_space_group_name_H-M 'P 1'
_symmetry_Int_Tables_number 1
loop_
_symmetry_equiv_pos_as_xyz
'x,y,z'
loop_
_atom_site_label
_atom_site_fract_x
_atom_site_fract_y
_atom_site_fract_z
Cu1 0.9294 0.2626 0.7559
Tm1 0.4079 0.0201 0.0414
Dy1 0.9651 0.5816 0.3657
Tm2 0.2111 0.6385 0.8169
Dy2 0.6539 0.0769 0.4926
Cu2 0.6896 0.3959 0.1024
```


The following is a GGA-PBE calculation of a relaxed structure of V6Sn2H, from Alexandria via LeMat-Bulk.

- Distance to the lowest polymorph of the same formula: 18 meV per atom
- Uncorrected energy: -7.413 eV/atom
- ρ: 7.3 g/cm³

```
data_V6Sn2H
_cell_length_a 5.5957
_cell_length_b 5.5957
_cell_length_c 5.5967
_cell_angle_alpha 59.99
_cell_angle_beta 59.99
_cell_angle_gamma 60.01
_symmetry_space_group_name_H-M 'P 1'
_symmetry_Int_Tables_number 1
loop_
_symmetry_equiv_pos_as_xyz
'x,y,z'
loop_
_atom_site_label
_atom_site_fract_x
_atom_site_fract_y
_atom_site_fract_z
H1 0.5000 0.5000 0.5000
V1 0.2450 0.7549 0.2450
V2 0.7551 0.7551 0.2451
Sn1 0.7500 0.7500 0.7501
V3 0.2451 0.7550 0.7550
V4 0.2449 0.2449 0.7549
Sn2 0.2500 0.2500 0.2499
V5 0.7550 0.2451 0.7550
V6 0.7549 0.2450 0.2450
```


The following is a GGA-PBE calculation of a relaxed structure of TbPr2Te5Au, from Alexandria via LeMat-Bulk.

- Raw formation energy: -1.208 eV/atom
- Uncorrected energy: -4.894 eV/atom
- ρ: 7.6 g/cm³

```
data_TbPr2Te5Au
_cell_length_a 4.3799
_cell_length_b 9.8377
_cell_length_c 13.2850
_cell_angle_alpha 90.00
_cell_angle_beta 90.00
_cell_angle_gamma 102.86
_symmetry_space_group_name_H-M 'P 1'
_symmetry_Int_Tables_number 1
loop_
_symmetry_equiv_pos_as_xyz
'x,y,z'
loop_
_atom_site_label
_atom_site_fract_x
_atom_site_fract_y
_atom_site_fract_z
Te1 0.9603 0.9207 0.5745
Te2 0.4995 0.9990 0.7792
Pr1 0.8867 0.7734 0.1871
Pr2 0.8755 0.7510 0.8071
Tb1 0.8111 0.6223 0.5083
Pr3 0.1245 0.2490 0.3071
Te3 0.6463 0.2926 0.4994
Te4 0.3059 0.6118 0.3386
Te5 0.5005 0.0010 0.2792
Te6 0.2880 0.5761 0.6701
Tb2 0.1889 0.3777 0.0083
Au1 0.4271 0.8541 0.4596
Te7 0.6941 0.3882 0.8386
Te8 0.3537 0.7074 0.9994
Pr4 0.1133 0.2266 0.6871
Te9 0.0397 0.0793 0.0745
Te10 0.7120 0.4239 0.1701
Au2 0.5729 0.1459 0.9596
```


The following is a GGA-PBE calculation of a relaxed structure of Y2HoMg4, from Alexandria via LeMat-Bulk.

- ΔH_f (0 K): 0.128 eV per atom
- Distance to the lowest polymorph of the same formula: 0 meV per atom
- Uncorrected energy: -3.284 eV/atom
- ρ: 3.5 g/cm³

```
data_Y2HoMg4
_cell_length_a 5.4084
_cell_length_b 5.4084
_cell_length_c 8.1025
_cell_angle_alpha 109.50
_cell_angle_beta 109.50
_cell_angle_gamma 90.00
_symmetry_space_group_name_H-M 'P 1'
_symmetry_Int_Tables_number 1
loop_
_symmetry_equiv_pos_as_xyz
'x,y,z'
loop_
_atom_site_label
_atom_site_fract_x
_atom_site_fract_y
_atom_site_fract_z
Mg1 0.6167 0.1167 0.2334
Y1 0.2509 0.2509 0.5017
Y2 0.7491 0.7491 0.4983
Mg2 0.1167 0.6167 0.2334
Ho1 0.0000 0.0000 0.0000
Mg3 0.3833 0.8833 0.7666
Mg4 0.8833 0.3833 0.7666
```


The following is a GGA-PBE calculation of a relaxed structure of Gd2S3O12, from Alexandria via LeMat-Bulk.

- Raw formation energy: -1.682 eV/atom
- Uncorrected energy: -7.567 eV/atom
- ρ: 4.0 g/cm³

```
data_Gd2S3O12
_cell_length_a 6.4739
_cell_length_b 7.1569
_cell_length_c 6.8586
_cell_angle_alpha 124.08
_cell_angle_beta 104.81
_cell_angle_gamma 90.26
_symmetry_space_group_name_H-M 'P 1'
_symmetry_Int_Tables_number 1
loop_
_symmetry_equiv_pos_as_xyz
'x,y,z'
loop_
_atom_site_label
_atom_site_fract_x
_atom_site_fract_y
_atom_site_fract_z
O1 0.0965 0.7192 0.1739
O2 0.7449 0.6346 0.7821
O3 0.3186 0.6756 0.1634
O4 0.7196 0.0286 0.6423
Gd1 0.3454 0.0131 0.5634
O5 0.4030 0.3764 0.6271
O6 0.5802 0.0633 0.2076
O7 0.0812 0.9255 0.7192
Gd2 0.1125 0.6323 0.7952
S1 0.6355 0.2775 0.2413
S2 0.9548 0.1353 0.8045
O8 0.0974 0.9348 0.1891
O9 0.0531 0.2462 0.6978
O10 0.3922 0.6912 0.6032
S3 0.5322 0.5223 0.5909
O11 0.5196 0.2929 0.0402
O12 0.8647 0.3897 0.3568
```


The following is a GGA-PBE calculation of a relaxed structure of Tl2SnS3, from Alexandria via LeMat-Bulk.

- Raw formation energy: -0.372 eV/atom
- Distance to the lowest polymorph of the same formula: 20 meV per atom
- Uncorrected energy: -3.892 eV/atom
- ρ: 5.6 g/cm³

```
data_Tl2SnS3
_cell_length_a 6.9640
_cell_length_b 7.8874
_cell_length_c 15.1441
_cell_angle_alpha 90.05
_cell_angle_beta 90.11
_cell_angle_gamma 63.80
_symmetry_space_group_name_H-M 'P 1'
_symmetry_Int_Tables_number 1
loop_
_symmetry_equiv_pos_as_xyz
'x,y,z'
loop_
_atom_site_label
_atom_site_fract_x
_atom_site_fract_y
_atom_site_fract_z
Tl1 0.5209 0.4309 0.3565
S1 0.6666 0.1699 0.5277
Sn1 0.7454 0.0038 0.6654
S2 0.9153 0.1694 0.7500
S3 0.4208 0.6714 0.8437
S4 0.3334 0.8301 0.4723
Tl2 0.4791 0.5691 0.6435
Sn2 0.2508 0.0038 0.8346
Sn3 0.7492 0.9962 0.1654
S5 0.1636 0.1699 0.9723
S6 0.8364 0.8301 0.0277
S7 0.9078 0.6714 0.6563
Tl3 0.1335 0.2298 0.5565
S8 0.4124 0.1753 0.7500
S9 0.0922 0.3286 0.3437
Tl4 0.0482 0.4309 0.1435
Tl5 0.6367 0.2298 0.9435
Tl6 0.8665 0.7702 0.4435
S10 0.0847 0.8306 0.2500
S11 0.5792 0.3286 0.1563
Tl7 0.9518 0.5691 0.8565
Sn4 0.2546 0.9962 0.3346
S12 0.5876 0.8247 0.2500
Tl8 0.3633 0.7702 0.0565
```


The following is a GGA-PBE calculation of a relaxed structure of NaH4Pd, from Alexandria via LeMat-Bulk.

- Distance to the lowest polymorph of the same formula: 2 meV per atom
- Uncorrected energy: -3.427 eV/atom
- ρ: 3.9 g/cm³

```
data_NaH4Pd
_cell_length_a 3.6839
_cell_length_b 6.4246
_cell_length_c 5.0601
_cell_angle_alpha 90.00
_cell_angle_beta 90.00
_cell_angle_gamma 106.66
_symmetry_space_group_name_H-M 'P 1'
_symmetry_Int_Tables_number 1
loop_
_symmetry_equiv_pos_as_xyz
'x,y,z'
loop_
_atom_site_label
_atom_site_fract_x
_atom_site_fract_y
_atom_site_fract_z
H1 0.8059 0.6119 0.4559
H2 0.1941 0.3881 0.5441
H3 0.0000 0.0000 0.5000
H4 0.1941 0.3881 0.9559
Pd1 0.9048 0.8095 0.2500
Na1 0.6241 0.2481 0.2500
H5 0.0000 0.0000 0.0000
H6 0.5977 0.1953 0.7500
Na2 0.3759 0.7519 0.7500
H7 0.4023 0.8047 0.2500
Pd2 0.0952 0.1905 0.7500
H8 0.8059 0.6119 0.0441
```


The following is a GGA-PBE calculation of a relaxed structure of YHfNbH2, from Alexandria via LeMat-Bulk.

- Uncorrected energy: -5.598 eV/atom
- ρ: 6.9 g/cm³

```
data_YHfNbH2
_cell_length_a 4.0142
_cell_length_b 5.3748
_cell_length_c 4.0142
_cell_angle_alpha 90.00
_cell_angle_beta 90.00
_cell_angle_gamma 90.00
_symmetry_space_group_name_H-M 'P 1'
_symmetry_Int_Tables_number 1
loop_
_symmetry_equiv_pos_as_xyz
'x,y,z'
loop_
_atom_site_label
_atom_site_fract_x
_atom_site_fract_y
_atom_site_fract_z
H1 0.0000 0.0000 0.5000
Nb1 0.0000 0.0000 0.0000
Y1 0.0000 0.5000 0.0000
H2 0.5000 0.0000 0.0000
Hf1 0.5000 0.5000 0.5000
```


> Which formula does entry 4 have?

Y2HoMg4


> The highest uncorrected energy belongs to which entry?

Y2HoMg4